A relaxed structure of AgAsS4. Source: Alexandria, functional PBE.

Output
Space-group type   C2/m, No. 12
Uncorrected formation energy   1.4 eV/f.u.
Relative energy among the computed polymorphs   74 meV per atom
Magnetic moment   0.00 μB/f.u.

Unit cell a=3.4370 b=6.8150 c=6.5430 alpha=113.16 beta=90.00 gamma=104.61
Positions (direct):
S (0.8987, 0.7974, 0.5997)
S (0.3719, 0.7439, 0.9963)
S (0.1013, 0.2026, 0.4003)
S (0.6281, 0.2561, 0.0037)
Ag (0.5000, 0.0000, 0.5000)
As (0.0000, 0.0000, 0.0000)


A relaxed structure of Ag7AsS6. Source: Alexandria, functional PBE.

Output
Space-group type   Ibam, No. 72
Uncorrected formation energy   0.6 eV/f.u.
Relative energy among the computed polymorphs   104 meV per atom
Magnetic moment   0.00 μB/f.u.

Unit cell a=6.4275 b=10.4205 c=10.4205 alpha=84.91 beta=72.04 gamma=72.04
Positions (direct):
Ag (0.4510, 0.3824, 0.8267)
Ag (0.2751, 0.9804, 0.0196)
Ag (0.9510, 0.3267, 0.8824)
Ag (0.7751, 0.5196, 0.4804)
Ag (0.2500, 0.2500, 0.2500)
Ag (0.1601, 0.1176, 0.6733)
Ag (0.3399, 0.8267, 0.3824)
Ag (0.2249, 0.4804, 0.5196)
Ag (0.7249, 0.0196, 0.9804)
Ag (0.8399, 0.8824, 0.3267)
Ag (0.7500, 0.7500, 0.7500)
Ag (0.0490, 0.6733, 0.1176)
Ag (0.5490, 0.6176, 0.1733)
Ag (0.6601, 0.1733, 0.6176)
S (0.6413, 0.8447, 0.1553)
S (0.9586, 0.9335, 0.7400)
S (0.3680, 0.7400, 0.9335)
S (0.0414, 0.0665, 0.2600)
S (0.4586, 0.2400, 0.4335)
S (0.1413, 0.6553, 0.3447)
S (0.8680, 0.4335, 0.2400)
S (0.8587, 0.3447, 0.6553)
S (0.1320, 0.5665, 0.7600)
S (0.6320, 0.2600, 0.0665)
S (0.5414, 0.7600, 0.5665)
S (0.3587, 0.1553, 0.8447)
As (0.2500, 0.7500, 0.7500)
As (0.7500, 0.2500, 0.2500)


A relaxed structure of AgAsS2. Source: Alexandria, functional PBE.

Output
Space-group type   R-3, No. 148
Uncorrected formation energy   -0.4 eV/f.u.
Magnetic moment   0.00 μB/f.u.

Unit cell a=8.7063 b=8.7063 c=8.7063 alpha=106.82 beta=106.82 gamma=106.82
Positions (direct):
Ag (0.7295, 0.9032, 0.3221)
Ag (0.0968, 0.6779, 0.2705)
Ag (0.2705, 0.0968, 0.6779)
Ag (0.9032, 0.3221, 0.7295)
Ag (0.3221, 0.7295, 0.9032)
Ag (0.6779, 0.2705, 0.0968)
S (0.0646, 0.3478, 0.1423)
S (0.8481, 0.2422, 0.3854)
S (0.2422, 0.3854, 0.8481)
S (0.6146, 0.1519, 0.7578)
S (0.6522, 0.8577, 0.9354)
S (0.8577, 0.9354, 0.6522)
S (0.3478, 0.1423, 0.0646)
S (0.9354, 0.6522, 0.8577)
S (0.1519, 0.7578, 0.6146)
S (0.7578, 0.6146, 0.1519)
S (0.3854, 0.8481, 0.2422)
S (0.1423, 0.0646, 0.3478)
As (0.6593, 0.5826, 0.8706)
As (0.3407, 0.4174, 0.1294)
As (0.4174, 0.1294, 0.3407)
As (0.8706, 0.6593, 0.5826)
As (0.5826, 0.8706, 0.6593)
As (0.1294, 0.3407, 0.4174)


A relaxed structure of AgAs3S. Source: Alexandria, functional PBE.

Output
Space-group type   Pm-3m, No. 221
Uncorrected formation energy   5.9 eV/f.u.
Relative energy among the computed polymorphs   403 meV per atom
Magnetic moment   1.11 μB/f.u.

Unit cell a=4.9887 b=4.9887 c=4.9887 alpha=90.00 beta=90.00 gamma=90.00
Each line ends with the local moment (μB).
Positions (direct):
Ag (0.0000, 0.0000, 0.0000)  0.03
As (0.0000, 0.0000, 0.5000)  0.13
As (0.0000, 0.5000, 0.0000)  0.17
As (0.5000, 0.0000, 0.0000)  0.16
S (0.5000, 0.5000, 0.5000)  0.09